The following is a DFT calculation (GGA-PBE) of a relaxed CaCuSn2 crystal.

Values from the calculation:
* total DFT energy (no corrections): -3.89 eV per atom
* calculated volume: 389 Å³ per cell
* symmetry: Immm
* E_form: -0.3611 eV per atom

Lattice parameters (Å, degrees): 10.380 10.380 10.380 154.47 125.76 60.88
Element x y z (fractional)
Ca 0.201 0.201 0.000
Ca 0.232 0.000 0.232
Ca 0.768 0.000 0.768
Ca 0.799 0.799 0.000
Cu 0.097 0.355 0.742
Cu 0.387 0.645 0.742
Cu 0.613 0.355 0.258
Cu 0.903 0.645 0.258
Sn 0.078 0.578 0.500
Sn 0.145 0.805 0.340
Sn 0.417 0.417 0.000
Sn 0.465 0.805 0.660
Sn 0.535 0.195 0.340
Sn 0.583 0.583 0.000
Sn 0.855 0.195 0.660
Sn 0.922 0.422 0.500

***

The following is a DFT calculation (GGA-PBE) of a relaxed ErMg7Tl4 crystal.

Values from the calculation:
* total DFT energy (no corrections): -1.98 eV per atom
* calculated volume: 316 Å³ per cell
* symmetry: C2/m
* E_form: 0.1211 eV per atom

Lattice parameters (Å, degrees): 6.868 6.868 10.691 120.63 120.63 49.24
Element x y z (fractional)
Er 0.000 0.000 0.000
Mg 0.090 0.090 0.434
Mg 0.284 0.284 0.350
Mg 0.315 0.315 0.095
Mg 0.500 0.500 0.000
Mg 0.685 0.685 0.905
Mg 0.716 0.716 0.650
Mg 0.910 0.910 0.566
Tl 0.192 0.192 0.773
Tl 0.401 0.401 0.677
Tl 0.599 0.599 0.323
Tl 0.808 0.808 0.227

***

The following is a DFT calculation (GGA-PBE) of a relaxed ScBrN2 crystal.

Values from the calculation:
* total DFT energy (no corrections): -5.56 eV per atom
* raw formation energy: 0.6021 eV per atom
* calculated volume: 261 Å³ per cell
* symmetry: I-42d
* relative energy among the computed polymorphs: 2.143 eV per formula unit

Lattice parameters (Å, degrees): 4.719 4.719 11.738 90.00 90.00 90.00
Element x y z (fractional)
Sc 0.000 0.000 0.000
Sc 0.000 0.500 0.250
Sc 0.500 0.000 0.750
Sc 0.500 0.500 0.500
Br 0.000 0.000 0.500
Br 0.000 0.500 0.750
Br 0.500 0.000 0.250
Br 0.500 0.500 0.000
N 0.219 0.250 0.125
N 0.250 0.719 0.375
N 0.250 0.781 0.875
N 0.281 0.250 0.625
N 0.719 0.750 0.625
N 0.750 0.219 0.875
N 0.750 0.281 0.375
N 0.781 0.750 0.125

***

The following is a DFT calculation (GGA-PBE) of a relaxed In2CuTeO6 crystal.

Values from the calculation:
* total DFT energy (no corrections): -5.33 eV per atom
* raw formation energy: -1.0815 eV per atom
* calculated volume: 131 Å³ per cell
* symmetry: P1

Lattice parameters (Å, degrees): 5.545 5.550 5.845 118.23 90.03 119.89
Element x y z (fractional)
In 0.000 0.000 0.000
In 0.494 0.989 0.485
Cu 0.211 0.422 0.632
Te 0.705 0.410 0.114
O 0.094 0.507 0.321
O 0.323 0.223 0.829
O 0.411 0.226 0.321
O 0.607 0.931 0.829
O 0.811 0.905 0.319
O 0.899 0.506 0.829

***

The following is a DFT calculation (GGA-PBE) of a relaxed BaCrCo2Pt crystal.

Values from the calculation:
* total DFT energy (no corrections): -5.80 eV per atom
* calculated volume: 97 Å³ per cell
* symmetry: P4/mmm
* E_form: 0.5639 eV per atom

Lattice parameters (Å, degrees): 4.457 4.457 4.895 90.00 90.00 90.00
Element x y z (fractional)
Ba 0.000 0.000 0.000
Cr 0.500 0.500 0.500
Co 0.000 0.500 0.500
Co 0.500 0.000 0.500
Pt 0.500 0.500 0.000

***

The following is a DFT calculation (GGA-PBE) of a relaxed Zr4CoOs crystal.

Values from the calculation:
* total DFT energy (no corrections): -8.98 eV per atom
* calculated volume: 240 Å³ per cell
* symmetry: P2_1/m
* E_form: -0.2290 eV per atom
* relative energy among the computed polymorphs: 0.000 eV per formula unit

Lattice parameters (Å, degrees): 5.750 6.279 6.974 90.00 107.59 90.00
Element x y z (fractional)
Zr 0.007 0.000 0.244
Zr 0.007 0.500 0.244
Zr 0.414 0.250 0.613
Zr 0.415 0.250 0.092
Zr 0.585 0.750 0.908
Zr 0.586 0.750 0.387
Zr 0.993 0.000 0.756
Zr 0.993 0.500 0.756
Co 0.228 0.750 0.054
Co 0.772 0.250 0.946
Os 0.240 0.750 0.563
Os 0.760 0.250 0.437

***

The following is a DFT calculation (GGA-PBE) of a relaxed Tb2Si5Rh3 crystal.

Values from the calculation:
* total DFT energy (no corrections): -6.83 eV per atom
* raw formation energy: -0.9832 eV per atom
* calculated volume: 331 Å³ per cell
* symmetry: C2/c

Lattice parameters (Å, degrees): 8.126 8.126 5.701 108.95 108.95 93.51
Element x y z (fractional)
Tb 0.100 0.367 0.240
Tb 0.367 0.100 0.740
Tb 0.633 0.900 0.260
Tb 0.900 0.633 0.760
Si 0.012 0.988 0.750
Si 0.234 0.442 0.838
Si 0.276 0.724 0.750
Si 0.290 0.710 0.250
Si 0.442 0.234 0.338
Si 0.558 0.766 0.662
Si 0.710 0.290 0.750
Si 0.724 0.276 0.250
Si 0.766 0.558 0.162
Si 0.988 0.012 0.250
Rh 0.040 0.760 0.374
Rh 0.240 0.960 0.126
Rh 0.498 0.502 0.250
Rh 0.502 0.498 0.750
Rh 0.760 0.040 0.874
Rh 0.960 0.240 0.626

***

The following is a DFT calculation (GGA-PBE) of a relaxed Mg3MnRu crystal.

Values from the calculation:
* total DFT energy (no corrections): -3.42 eV per atom
* calculated volume: 112 Å³ per cell
* symmetry: Pm-3m
* E_form: 1.2271 eV per atom
* relative energy among the computed polymorphs: 2.805 eV per formula unit

Lattice parameters (Å, degrees): 4.813 4.813 4.813 90.00 90.00 90.00
Element x y z (fractional)
Mg 0.000 0.000 0.500
Mg 0.000 0.500 0.000
Mg 0.500 0.000 0.000
Mn 0.000 0.000 0.000
Ru 0.500 0.500 0.500